Na2TlF | PBE | optimized geometry

```
Na2TlF
1.0
3.148 0.000 0.000
0.000 3.148 0.000
0.000 0.000 8.149
Na Tl F
2 1 1
direct
0.000 0.000 0.173
0.000 0.000 0.827
0.500 0.500 0.500
0.500 0.500 0.000
```

Calculated values
**SG**: P4/mmm
**Uncorrected formation energy**: -475 kJ/mol of formula units

=====

Pm3US6 | PBE | optimized geometry

```
Pm3US6
1.0
5.478 -6.761 0.000
5.478 6.761 0.000
0.000 0.000 6.943
Pm U S
6 2 12
direct
0.097 0.903 0.500
0.205 0.413 0.597
0.413 0.205 0.097
0.587 0.795 0.597
0.795 0.587 0.097
0.903 0.097 0.000
0.336 0.664 0.109
0.664 0.336 0.609
0.072 0.598 0.310
0.134 0.192 0.294
0.192 0.134 0.794
0.272 0.728 0.744
0.402 0.928 0.310
0.491 0.509 0.365
0.509 0.491 0.865
0.598 0.072 0.810
0.728 0.272 0.244
0.808 0.866 0.294
0.866 0.808 0.794
0.928 0.402 0.810
```

Calculated values
**SG**: Cmc2_1
**Uncorrected formation energy**: -1732 kJ/mol of formula units

=====

AcPuBi2 | PBE | optimized geometry

```
AcPuBi2
1.0
4.733 0.000 0.000
0.000 7.778 0.000
0.000 0.000 8.097
Ac Pu Bi
2 2 4
direct
0.250 0.250 0.090
0.750 0.750 0.910
0.250 0.750 0.420
0.750 0.250 0.580
0.250 0.010 0.733
0.250 0.490 0.733
0.750 0.510 0.267
0.750 0.990 0.267
```

Calculated values
**ΔH_f (0 K)**: -573 meV per atom
**SG**: Pmmn

=====

RePtI2 | PBE | optimized geometry

```
RePtI2
1.0
0.000 3.443 3.443
3.443 0.000 3.443
3.443 3.443 0.000
Re Pt I
1 1 2
direct
0.000 0.000 0.000
0.500 0.500 0.500
0.250 0.250 0.250
0.750 0.750 0.750
```

Calculated values
**SG**: Fm-3m
**Uncorrected formation energy**: 512 kJ/mol of formula units

=====

GaTeAs2Ru | PBE | optimized geometry

```
GaTeAs2Ru
1.0
4.697 0.000 0.000
0.000 4.697 0.000
0.000 0.000 5.203
Ga Te As Ru
1 1 2 1
direct
0.000 0.000 0.000
0.000 0.000 0.500
0.000 0.500 0.000
0.500 0.000 0.000
0.500 0.500 0.500
```

Calculated values
**SG**: P4/mmm
**Uncorrected formation energy**: 586 kJ/mol of formula units

=====

RbLi2Bi2 | PBE | optimized geometry

```
RbLi2Bi2
1.0
-2.564 2.564 5.923
2.564 -2.564 5.923
2.564 2.564 -5.923
Rb Li Bi
1 2 2
direct
0.000 0.000 0.000
0.250 0.750 0.500
0.750 0.250 0.500
0.373 0.373 0.000
0.627 0.627 0.000
```

Calculated values
**ΔH_f (0 K)**: -368 meV per atom
**SG**: I4/mmm

=====

Ba6Cd2HgN | PBE | optimized geometry

```
Ba6Cd2HgN
1.0
8.130 0.000 0.000
0.000 8.879 0.000
-7.239 0.000 11.685
Ba Cd Hg N
12 4 2 2
direct
0.104 0.028 0.224
0.104 0.472 0.724
0.194 0.716 0.052
0.194 0.784 0.552
0.345 0.160 0.053
0.345 0.340 0.553
0.655 0.660 0.447
0.655 0.840 0.947
0.806 0.216 0.448
0.806 0.284 0.948
0.896 0.528 0.276
0.896 0.972 0.776
0.301 0.100 0.752
0.301 0.400 0.252
0.699 0.600 0.748
0.699 0.900 0.248
0.500 0.000 0.500
0.500 0.500 0.000
0.000 0.000 0.000
0.000 0.500 0.500
```

Calculated values
**SG**: P2_1/c
**Uncorrected formation energy**: -284 kJ/mol of formula units

=====

Tl2CrFe | PBE | optimized geometry

```
Tl2CrFe
1.0
1.614 0.932 8.879
-1.614 0.932 8.879
0.000 -1.863 8.879
Tl Cr Fe
2 1 1
direct
0.248 0.248 0.248
0.752 0.752 0.752
0.000 0.000 0.000
0.500 0.500 0.500
```

Calculated values
**ΔH_f (0 K)**: 736 meV per atom
**SG**: R-3m

=====

no.,V (Å³/cell),total magnetization (μB per cell)
1,80.76,0.0
2,514.34,6.0
3,298.06,11.0
4,81.63,0.7
5,114.81,0.8
6,155.72,0.0
7,843.49,0.0
8,80.08,6.3